The following is a DFT calculation (PBE) of crystalline LaBe2H8Rh at its relaxed geometry.

extended XYZ file:
```
12
Lattice="2.160 1.247 6.055 -2.160 1.247 6.055 0.000 -2.494 6.055" Properties=species:S:1:pos:R:3 pbc="T T T"
La 0.000 0.000 0.000
Be 0.000 0.000 4.210
Be 0.000 0.000 13.954
H -1.419 0.037 8.033
H -0.742 -1.210 10.131
H 0.000 0.000 5.713
H 0.678 -1.247 8.033
H -0.678 1.247 10.131
H 0.000 0.000 12.451
H 0.742 1.210 8.033
H 1.419 -0.037 10.131
Rh 0.000 0.000 9.082
```

Calculated values
Uncorrected energy: -48.8 eV/cell
Spin magnetization: 1.29 Bohr magnetons per cell
Symmetry: R-3, No. 148
Fermi-level density of states: 3.52 states/eV/cell